Record 1
# HfZr9Tl2

An optimized crystal structure of HfZr9Tl2 (PBE-GGA, Alexandria via LeMat-Bulk).

- D(E_F): 11.2 states/eV/cell
- Energy relative to the elements: -0.064 eV per atom

a = 4.496 Å, b = 4.496 Å, c = 13.564 Å
α = 90.00°, β = 90.00°, γ = 90.00°
Space group P4/mmm (No. 123)
Symmetry-distinct sites (fractional):
Hf: 0.000 0.000 0.000 [1 per cell]
Zr: 0.000 0.500 0.165 [4 per cell]
Zr: 0.000 0.500 0.500 [2 per cell]
Zr: 0.500 0.500 0.000 [1 per cell]
Zr: 0.500 0.500 0.337 [2 per cell]
Tl: 0.000 0.000 0.334 [2 per cell]



Record 2
# LaTbErTh

An optimized crystal structure of LaTbErTh (PBE-GGA, Alexandria via LeMat-Bulk).

- D(E_F): 4.3 states/eV/cell
- Energy relative to the elements: 0.016 eV per atom
- Polymorph energy (0 for the lowest one): 0 meV per atom

a = 3.613 Å, b = 3.613 Å, c = 10.089 Å
α = 90.00°, β = 90.00°, γ = 90.00°
Space group P4mm (No. 99)
Symmetry-distinct sites (fractional):
La: 0.000 0.000 0.000 [1 per cell]
Tb: 0.500 0.500 0.735 [1 per cell]
Er: 0.500 0.500 0.260 [1 per cell]
Th: 0.000 0.000 0.496 [1 per cell]



Record 3
# Cs3Hg4Pd

An optimized crystal structure of Cs3Hg4Pd (PBE-GGA, Alexandria via LeMat-Bulk).

- D(E_F): 6.8 states/eV/cell
- Energy relative to the elements: -0.193 eV per atom
- Polymorph energy (0 for the lowest one): 0 meV per atom

a = 6.819 Å, b = 8.671 Å, c = 10.773 Å
α = 90.00°, β = 90.00°, γ = 90.00°
Space group Imm2 (No. 44)
Symmetry-distinct sites (fractional):
Cs: 0.000 0.000 0.000 [2 per cell]
Cs: 0.000 0.223 0.390 [4 per cell]
Hg: 0.000 0.320 0.730 [4 per cell]
Hg: 0.241 0.500 0.157 [4 per cell]
Pd: 0.000 0.500 0.946 [2 per cell]



Record 4
# Zn2IrRh

An optimized crystal structure of Zn2IrRh (PBE-GGA, Alexandria via LeMat-Bulk).

- D(E_F): 8.2 states/eV/cell
- Energy relative to the elements: -0.109 eV per atom

a = 3.811 Å, b = 3.811 Å, c = 7.826 Å
α = 90.00°, β = 90.00°, γ = 90.00°
Space group I-4m2 (No. 119)
Symmetry-distinct sites (fractional):
Zn: 0.000 0.000 0.000 [2 per cell]
Zn: 0.000 0.500 0.250 [2 per cell]
Ir: 0.000 0.500 0.750 [2 per cell]
Rh: 0.000 0.000 0.500 [2 per cell]



Record 5
# ZrTi4Os

An optimized crystal structure of ZrTi4Os (PBE-GGA, Alexandria via LeMat-Bulk).

- D(E_F): 9.2 states/eV/cell
- Energy relative to the elements: 0.371 eV per atom
- Polymorph energy (0 for the lowest one): 616 meV per atom

a = 4.131 Å, b = 4.131 Å, c = 7.261 Å
α = 90.00°, β = 90.00°, γ = 90.00°
Space group P4/mmm (No. 123)
Symmetry-distinct sites (fractional):
Zr: 0.000 0.000 0.000 [1 per cell]
Ti: 0.000 0.500 0.288 [4 per cell]
Os: 0.500 0.500 0.500 [1 per cell]



Record 6
# Sm4Tl5Sn

An optimized crystal structure of Sm4Tl5Sn (PBE-GGA, Alexandria via LeMat-Bulk).

- D(E_F): 16.2 states/eV/cell
- Energy relative to the elements: -0.123 eV per atom

a = 7.901 Å, b = 10.174 Å, c = 7.861 Å
α = 90.00°, β = 90.00°, γ = 90.00°
Space group Pmmn (No. 59, origin choice 2)
Symmetry-distinct sites (fractional):
Sm: 0.001 0.250 0.198 [4 per cell]
Sm: 0.250 0.061 0.526 [4 per cell]
Tl: 0.058 0.567 0.185 [8 per cell]
Tl: 0.250 0.250 0.889 [2 per cell]
Sn: 0.250 0.750 0.485 [2 per cell]



Record 7
# Nd6InTe12

An optimized crystal structure of Nd6InTe12 (PBE-GGA, Alexandria via LeMat-Bulk).

- D(E_F): 26.3 states/eV/cell
- Uncorrected formation energy: -1.10 eV/atom

a = 13.6895 Å, b = 13.6895 Å, c = 12.9476 Å
α = 90.00°, β = 90.00°, γ = 120.00°
Space group R-3 (No. 148, hexagonal axes)
Symmetry-distinct sites (fractional):
Nd: 0.0432 0.7692 0.1310 [18 per cell]
In: 0.0000 0.0000 0.5000 [3 per cell]
Te: 0.0317 0.8207 0.8919 [18 per cell]
Te: 0.0810 0.8609 0.3806 [18 per cell]



Record 8
# SrLaTe2

An optimized crystal structure of SrLaTe2 (PBE-GGA, Alexandria via LeMat-Bulk).

- D(E_F): 5.3 states/eV/cell
- Uncorrected formation energy: -1.48 eV/atom
- Polymorph energy (0 for the lowest one): 180 meV per atom

a = 5.029 Å, b = 4.269 Å, c = 12.775 Å
α = 90.00°, β = 90.00°, γ = 90.00°
Space group Amm2 (No. 38)
Symmetry-distinct sites (fractional):
Sr: 0.000 0.000 0.000 [2 per cell]
La: 0.500 0.000 0.249 [2 per cell]
Te: 0.000 0.000 0.746 [2 per cell]
Te: 0.500 0.000 0.510 [2 per cell]



Record 9
# CsPmGe2O6

An optimized crystal structure of CsPmGe2O6 (PBE-GGA, Alexandria via LeMat-Bulk).

- D(E_F): 0.0 states/eV/cell
- Uncorrected formation energy: -2.16 eV/atom

a = 10.999 Å, b = 10.455 Å, c = 5.894 Å
α = 90.00°, β = 101.81°, γ = 90.00°
Space group C2/c (No. 15)
Symmetry-distinct sites (fractional):
Cs: 0.000 0.182 0.250 [4 per cell]
Pm: 0.000 0.384 0.750 [4 per cell]
Ge: 0.223 0.082 0.811 [8 per cell]
O: 0.114 0.440 0.123 [8 per cell]
O: 0.153 0.231 0.761 [8 per cell]
O: 0.164 0.007 0.045 [8 per cell]



Record 10
# Li2Pm3Mg3

An optimized crystal structure of Li2Pm3Mg3 (PBE-GGA, Alexandria via LeMat-Bulk).

- D(E_F): 22.8 states/eV/cell
- Energy relative to the elements: 0.011 eV per atom

a = 5.3280 Å, b = 5.3280 Å, c = 26.0770 Å
α = 90.00°, β = 90.00°, γ = 120.00°
Space group R3m (No. 160, hexagonal axes)
Symmetry-distinct sites (fractional):
Li: 0.0000 0.0000 0.0000 [3 per cell]
Li: 0.0000 0.0000 0.4925 [3 per cell]
Pm: 0.0000 0.0000 0.1231 [3 per cell]
Pm: 0.0000 0.0000 0.6222 [3 per cell]
Pm: 0.0000 0.0000 0.8727 [3 per cell]
Mg: 0.0000 0.0000 0.2522 [3 per cell]
Mg: 0.0000 0.0000 0.3726 [3 per cell]
Mg: 0.0000 0.0000 0.7453 [3 per cell]



Record 11
# ErZnRuRh

An optimized crystal structure of ErZnRuRh (PBE-GGA, Alexandria via LeMat-Bulk).

- D(E_F): 13.9 states/eV/cell
- Energy relative to the elements: -0.365 eV per atom

a = 6.404 Å, b = 6.404 Å, c = 6.404 Å
α = 90.00°, β = 90.00°, γ = 90.00°
Space group F-43m (No. 216)
Symmetry-distinct sites (fractional):
Er: 0.000 0.000 0.000 [4 per cell]
Zn: 0.000 0.000 0.500 [4 per cell]
Ru: 0.250 0.250 0.750 [4 per cell]
Rh: 0.250 0.250 0.250 [4 per cell]



Record 12
# CaZrW2

An optimized crystal structure of CaZrW2 (PBE-GGA, Alexandria via LeMat-Bulk).

- D(E_F): 16.7 states/eV/cell
- Energy relative to the elements: 0.810 eV per atom
- Polymorph energy (0 for the lowest one): 412 meV per atom

a = 2.9454 Å, b = 2.9454 Å, c = 31.6914 Å
α = 90.00°, β = 90.00°, γ = 120.00°
Space group R-3m (No. 166, hexagonal axes)
Symmetry-distinct sites (fractional):
Ca: 0.0000 0.0000 0.0000 [3 per cell]
Zr: 0.0000 0.0000 0.5000 [3 per cell]
W: 0.0000 0.0000 0.2483 [6 per cell]



Look up the D(E_F) of the seventh one. 26.3 states/eV/cell



Which value of D(E_F) does entry 2 give? 4.3 states/eV/cell



The lowest D(E_F) belongs to which entry? CsPmGe2O6